Gd3Y3Fe23 | SCAN | PBEsol geometry

Symmetry: No. 160
M_tot in μB per formula unit: 57.7
ΔE_f in eV per atom: 0.0889
Calculated total energy in eV per atom: -23.254

abc: 8.254 8.254 8.269
angles: 60.06 60.06 60.00
Each line ends with the local moment (μB).
Positions (direct):
Fe 0.001 0.001 0.998  2.51
Fe 0.043 0.319 0.319  -1.91
Fe 0.877 0.877 0.879  2.72
Fe 0.974 0.676 0.675  2.31
Fe 0.502 0.000 0.996  2.16
Fe 0.998 0.501 0.503  2.18
Fe 0.319 0.319 0.319  -1.91
Fe 0.319 0.043 0.319  -1.91
Fe 0.676 0.974 0.675  2.31
Fe 0.998 0.998 0.503  2.18
Fe 0.502 0.502 0.996  2.16
Fe 0.636 0.121 0.122  2.59
Fe 0.676 0.676 0.972  2.27
Fe 0.368 0.877 0.879  2.72
Fe 0.121 0.121 0.122  2.59
Fe 0.000 0.502 0.996  2.16
Fe 0.676 0.676 0.675  2.31
Fe 0.878 0.878 0.366  2.69
Fe 0.122 0.122 0.634  2.58
Fe 0.319 0.319 0.043  -1.83
Fe 0.121 0.636 0.122  2.59
Fe 0.877 0.368 0.879  2.72
Fe 0.501 0.998 0.503  2.18
Y 0.710 0.290 0.711  -0.32
Y 0.290 0.290 0.711  -0.32
Y 0.290 0.710 0.711  -0.32
Gd 0.293 0.708 0.292  6.95
Gd 0.708 0.708 0.292  6.95
Gd 0.708 0.293 0.292  6.95